Entry 1:
Material: PmHoSn
Method: DFT, PBE
State: relaxed

Results
SG: No. 194
Offset from the most stable computed form (meV/atom): 85

a = 5.4661 Å, b = 5.4661 Å, c = 6.6559 Å
α = 90.00°, β = 90.00°, γ = 120.00°
Closest atoms and distances in Å follow each position.
Fractional positions:
Pm1 0.3333 0.6667 0.2500  5 Sn 3.16-3.33
Pm2 0.6667 0.3333 0.7500  5 Sn 3.16-3.33
Ho1 0.0000 0.0000 0.0000  2 Ho 3.33, 6 Sn 3.57, 6 Pm 3.57
Ho2 0.0000 0.0000 0.5000  2 Ho 3.33, 6 Pm 3.57, 6 Sn 3.57
Sn1 0.3333 0.6667 0.7500  5 Pm 3.16-3.33
Sn2 0.6667 0.3333 0.2500  5 Pm 3.16-3.33

***

Entry 2:
Material: Pm7HoSn5
Method: DFT, PBE
State: relaxed

Results
SG: No. 44
Energy (eV/atom): -4.918

a = 8.4479 Å, b = 8.4479 Å, c = 8.4479 Å
α = 134.43°, β = 97.63°, γ = 99.62°
Closest atoms and distances in Å follow each position.
Fractional positions:
Pm1 0.0000 0.0000 0.0000  1 Ho 3.49, 4 Sn 3.56, 9 Pm 3.75-3.90
Pm2 0.2562 0.5843 0.6719  5 Sn 3.26-3.34, 1 Pm 3.35
Pm3 0.3451 0.3451 0.0000  6 Sn 3.28-3.42, 1 Ho 3.66
Pm4 0.4088 0.0739 0.3349  5 Sn 3.26-3.37, 1 Pm 3.36
Pm5 0.7390 0.0739 0.6651  5 Sn 3.26-3.37, 1 Pm 3.36
Pm6 0.8316 0.3316 0.5000  4 Sn 3.13, 4 Pm 3.35-3.36
Pm7 0.9124 0.5843 0.3281  5 Sn 3.26-3.34, 1 Pm 3.35
Ho1 0.6804 0.6804 0.0000  4 Sn 3.45, 6 Pm 3.49-3.80
Sn1 0.0646 0.0661 0.4716  3 Sn 3.10-3.45, 6 Pm 3.13-3.42, 1 Ho 3.45
Sn2 0.0646 0.5930 0.9985  3 Sn 3.10-3.45, 6 Pm 3.13-3.42, 1 Ho 3.45
Sn3 0.3264 0.8264 0.5000  6 Pm 3.26-3.28, 4 Sn 3.33
Sn4 0.5945 0.0661 0.0015  3 Sn 3.10-3.45, 6 Pm 3.13-3.42, 1 Ho 3.45
Sn5 0.5945 0.5930 0.5284  3 Sn 3.10-3.45, 6 Pm 3.13-3.42, 1 Ho 3.45

***

Entry 3:
Material: PmHo3Sn2
Method: DFT, PBE
State: relaxed

Results
SG: No. 12
Energy (eV/atom): -4.913

a = 9.2733 Å, b = 9.2733 Å, c = 9.5121 Å
α = 112.86°, β = 112.86°, γ = 28.51°
Closest atoms and distances in Å follow each position.
Fractional positions:
Pm1 0.1145 0.1145 0.1321  6 Sn 3.24-3.43, 1 Ho 3.56
Pm2 0.8855 0.8855 0.8679  6 Sn 3.24-3.43, 1 Ho 3.56
Ho1 0.0556 0.0556 0.6898  3 Sn 3.06-3.28, 3 Ho 3.33-3.35
Ho2 0.3077 0.3077 0.1116  4 Sn 3.16-3.49, 4 Ho 3.24-3.33
Ho3 0.3553 0.3553 0.5176  4 Sn 3.17-3.29
Ho4 0.6447 0.6447 0.4824  4 Sn 3.17-3.29
Ho5 0.6923 0.6923 0.8884  4 Sn 3.16-3.49, 4 Ho 3.24-3.33
Ho6 0.9444 0.9444 0.3102  3 Sn 3.06-3.28, 3 Ho 3.33-3.35
Sn1 0.2430 0.2430 0.7132  7 Ho 3.17-3.49, 2 Pm 3.30
Sn2 0.4900 0.4900 0.1458  1 Sn 2.94, 3 Ho 3.06-3.16, 2 Pm 3.24
Sn3 0.5100 0.5100 0.8542  1 Sn 2.94, 3 Ho 3.06-3.16, 2 Pm 3.24
Sn4 0.7570 0.7570 0.2868  7 Ho 3.17-3.49, 2 Pm 3.30

***

Entry 4:
Material: Pm2Ho3Sn2
Method: DFT, PBE
State: relaxed

Results
SG: No. 12
Energy (eV/atom): -4.924

a = 11.9782 Å, b = 4.4887 Å, c = 8.5544 Å
α = 90.00°, β = 110.15°, γ = 90.00°
Closest atoms and distances in Å follow each position.
Fractional positions:
Pm1 0.1355 0.0000 0.2891  3 Sn 3.22-3.40, 2 Ho 3.60
Pm2 0.3645 0.5000 0.7109  3 Sn 3.22-3.40, 2 Ho 3.60
Pm3 0.6355 0.5000 0.2891  3 Sn 3.22-3.40, 2 Ho 3.60
Pm4 0.8645 0.0000 0.7109  3 Sn 3.22-3.40, 2 Ho 3.60
Ho1 0.0000 0.5000 0.5000  4 Sn 3.12
Ho2 0.1266 0.5000 0.9388  3 Sn 3.19-3.21, 4 Ho 3.53-3.57
Ho3 0.3734 0.0000 0.0612  3 Sn 3.19-3.21, 4 Ho 3.53-3.57
Ho4 0.5000 0.0000 0.5000  4 Sn 3.12
Ho5 0.6266 0.0000 0.9388  3 Sn 3.19-3.21, 4 Ho 3.53-3.57
Ho6 0.8734 0.5000 0.0612  3 Sn 3.19-3.21, 4 Ho 3.53-3.57
Sn1 0.1695 0.0000 0.7008  5 Ho 3.12-3.21, 3 Pm 3.22-3.40
Sn2 0.3305 0.5000 0.2992  5 Ho 3.12-3.21, 3 Pm 3.22-3.40
Sn3 0.6695 0.5000 0.7008  5 Ho 3.12-3.21, 3 Pm 3.22-3.40
Sn4 0.8305 0.0000 0.2992  5 Ho 3.12-3.21, 3 Pm 3.22-3.40

***

Entry 5:
Material: PmHo2Sn
Method: DFT, PBE
State: relaxed

Results
SG: No. 166
Offset from the most stable computed form (meV/atom): 470

a = 3.5172 Å, b = 3.5172 Å, c = 35.8830 Å
α = 90.00°, β = 90.00°, γ = 120.00°
Closest atoms and distances in Å follow each position.
Fractional positions:
Pm1 0.0000 0.0000 0.0000  6 Pm 3.52, 6 Ho 3.52
Pm2 0.3333 0.6667 0.6667  6 Pm 3.52, 6 Ho 3.52
Pm3 0.6667 0.3333 0.3333  6 Pm 3.52, 6 Ho 3.52
Ho1 0.0000 0.0000 0.4136  1 Sn 3.10
Ho2 0.0000 0.0000 0.5864  1 Sn 3.10
Ho3 0.3333 0.6667 0.0803  1 Sn 3.10
Ho4 0.3333 0.6667 0.2531  1 Sn 3.10
Ho5 0.6667 0.3333 0.7469  1 Sn 3.10
Ho6 0.6667 0.3333 0.9197  1 Sn 3.10
Sn1 0.0000 0.0000 0.5000  2 Ho 3.10
Sn2 0.3333 0.6667 0.1667  2 Ho 3.10
Sn3 0.6667 0.3333 0.8333  2 Ho 3.10

***

Entry 6:
Material: PmHoSn
Method: DFT, PBE
State: relaxed

Results
SG: No. 107
Offset from the most stable computed form (meV/atom): 176

a = 4.1224 Å, b = 4.1224 Å, c = 9.9300 Å
α = 90.00°, β = 90.00°, γ = 90.00°
Closest atoms and distances in Å follow each position.
Fractional positions:
Pm1 0.0000 0.0000 0.0000  5 Ho 3.13-3.45, 5 Sn 3.33-3.35
Pm2 0.5000 0.5000 0.5000  5 Ho 3.13-3.45, 5 Sn 3.33-3.35
Ho1 0.0000 0.0000 0.6852  5 Pm 3.13-3.45, 5 Sn 3.28-3.45
Ho2 0.5000 0.5000 0.1852  5 Pm 3.13-3.45, 5 Sn 3.28-3.45
Sn1 0.0000 0.0000 0.3374  5 Ho 3.28-3.45, 5 Pm 3.33-3.35
Sn2 0.5000 0.5000 0.8374  5 Ho 3.28-3.45, 5 Pm 3.33-3.35

***

no.,volume (Å³ per cell),D(E_F) (states/eV per cell),size of the total moment (μB per formula unit)
1,172,6.133,1.0
2,397,15.707,0.0
3,358,13.506,0.1
4,432,17.310,0.0
5,384,12.322,0.0
6,169,8.205,0.1